Below is a relaxed LaIr2Pb crystal, with properties calculated at the PBEsol level.

```
LaIr2Pb
1.0
-1.3091 2.8849 0.8239
-2.6346 -1.5354 1.1901
3.2970 -0.4301 6.7441
Ir La Pb
2 1 1
Direct
0.0000 0.0000 0.7237 Ir
0.0000 0.0000 0.2763 Ir
0.5000 0.5000 0.0000 La
0.5000 0.5000 0.5000 Pb
```

Computed properties:
The calculation puts the density at 15.06 g cm⁻³. The value obtained for the formation energy is 0.08 eV/atom. The calculation puts the density of states at the Fermi level at 3.00 states/eV/f.u.